No. 1
Below is a relaxed PrSm2ErSe5 crystal, with properties calculated at the PBE level.

Energy = -5.28 eV/atom
Raw formation energy = -1261 meV per atom

Cell lengths 5.106, 5.106, 11.029 Å; angles 90.00, 90.00, 90.00 degrees
Space group P4/mmm (No. 123)
Inequivalent atoms, fractional coordinates:
Pr 0.000 0.000 0.000 x1
Sm 0.500 0.500 0.337 x2
Er 0.000 0.000 0.500 x1
Se 0.000 0.000 0.253 x2
Se 0.000 0.500 0.500 x2
Se 0.500 0.500 0.000 x1

---

No. 2
Below is a relaxed Y2HgPt crystal, with properties calculated at the PBE level.

Energy relative to the elements = -0.4943 eV per atom
Energy = -5.31 eV/atom

Cell lengths 7.782, 7.782, 7.260 Å; angles 90.00, 90.00, 90.00 degrees
Space group I-42d (No. 122)
Inequivalent atoms, fractional coordinates:
Y 0.218 0.250 0.125 x8
Hg 0.000 0.000 0.500 x4
Pt 0.000 0.000 0.000 x4

---

No. 3
Below is a relaxed Al2Cu2Bi crystal, with properties calculated at the PBE level.

Energy relative to the elements = 0.1416 eV per atom
Polymorph energy (0 for the lowest one) = 0.042 eV per atom
Energy = -3.77 eV/atom

Cell lengths 3.982, 3.982, 11.546 Å; angles 90.00, 90.00, 90.00 degrees
Space group I4/mmm (No. 139)
Inequivalent atoms, fractional coordinates:
Al 0.000 0.000 0.117 x4
Cu 0.000 0.500 0.250 x4
Bi 0.000 0.000 0.500 x2

---

No. 4
Below is a relaxed Re2Pt crystal, with properties calculated at the PBE level.

Energy relative to the elements = -0.0324 eV per atom
Polymorph energy (0 for the lowest one) = 0.055 eV per atom
Energy = -10.34 eV/atom

Cell lengths 2.7789, 2.7789, 6.7920 Å; angles 90.00, 90.00, 120.00 degrees
Space group P-3m1 (No. 164)
Inequivalent atoms, fractional coordinates:
Re 0.3333 0.6667 0.3422 x2
Pt 0.0000 0.0000 0.0000 x1

---

No. 5
Below is a relaxed ZnAs2Pb crystal, with properties calculated at the PBE level.

Energy relative to the elements = 0.1485 eV per atom
Energy = -3.42 eV/atom

Cell lengths 3.687, 3.710, 6.729 Å; angles 90.00, 90.00, 90.00 degrees
Space group Pmm2 (No. 25)
Inequivalent atoms, fractional coordinates:
Zn 0.000 0.000 0.000 x1
As 0.000 0.000 0.374 x1
As 0.500 0.500 0.251 x1
Pb 0.500 0.500 0.765 x1

---

No. 6
Below is a relaxed MgRhCl2 crystal, with properties calculated at the PBE level.

Polymorph energy (0 for the lowest one) = 0.084 eV per atom
Energy = -3.73 eV/atom
Raw formation energy = -575 meV per atom

Cell lengths 10.246, 3.240, 5.225 Å; angles 90.00, 92.60, 90.00 degrees
Space group Cm (No. 8)
Inequivalent atoms, fractional coordinates:
Mg 0.000 0.000 0.000 x2
Rh 0.142 0.500 0.311 x2
Cl 0.274 0.000 0.075 x2
Cl 0.488 0.000 0.633 x2

---

No. 7
Below is a relaxed YTi4 crystal, with properties calculated at the PBE level.

Energy relative to the elements = 1.4781 eV per atom
Energy = -6.13 eV/atom

Cell lengths 4.776, 4.776, 4.776 Å; angles 90.00, 90.00, 90.00 degrees
Space group Pm-3m (No. 221)
Inequivalent atoms, fractional coordinates:
Y 0.000 0.000 0.000 x1
Ti 0.000 0.000 0.500 x3
Ti 0.500 0.500 0.500 x1

---

No. 8
Below is a relaxed Sc2Sn2Mo crystal, with properties calculated at the PBE level.

Energy relative to the elements = -0.2745 eV per atom
Polymorph energy (0 for the lowest one) = 0.000 eV per atom
Energy = -6.57 eV/atom

Cell lengths 7.282, 7.282, 4.059 Å; angles 90.00, 90.00, 90.00 degrees
Space group P4/mbm (No. 127)
Inequivalent atoms, fractional coordinates:
Sc 0.170 0.330 0.000 x4
Sn 0.139 0.639 0.500 x4
Mo 0.000 0.000 0.500 x2

---

Number 1: Fermi-level density of states 0.60 states/eV per atom. Number 2: Fermi-level density of states 0.61 states/eV per atom. Number 3: Fermi-level density of states 0.35 states/eV per atom. Number 4: Fermi-level density of states 0.76 states/eV per atom. Number 5: Fermi-level density of states 0.55 states/eV per atom. Number 6: Fermi-level density of states 0.08 states/eV per atom. Number 7: Fermi-level density of states 1.85 states/eV per atom. Number 8: Fermi-level density of states 0.94 states/eV per atom.